1.
Compound: Ta5Os
Source: Alexandria via LeMat-Bulk
Functional: PBE
Structure: optimized geometry

a b c (Å): 3.2428 3.2428 9.9745
angles (deg): 90.00 90.00 90.00
Fractional coordinates of all 6 atoms:
Os 0.5000 0.5000 0.0000
Ta 0.0000 0.0000 0.8407
Ta 0.0000 0.0000 0.1593
Ta 0.5000 0.5000 0.6691
Ta 0.5000 0.5000 0.3309
Ta 0.0000 0.0000 0.5000

Output
Formation enthalpy at 0 K ... -0.18 eV per atom
DOS at the Fermi energy ... 0.706 states/eV/atom
Total DFT energy (no corrections) ... -11.9323 eV/atom
Size of the total moment ... 0.0 μB per formula unit
Relative energy among the computed polymorphs ... 29 meV per atom
Volume ... 17.5 Å³/atom

2.
Compound: LiCo6
Source: Alexandria via LeMat-Bulk
Functional: PBE
Structure: optimized geometry

a b c (Å): 5.2259 5.2259 5.2259
angles (deg): 109.47 109.47 109.47
Fractional coordinates of all 7 atoms:
Li 0.0000 0.0000 0.0000
Co 0.2500 0.7500 0.5000
Co 0.5000 0.7500 0.2500
Co 0.2500 0.5000 0.7500
Co 0.7500 0.2500 0.5000
Co 0.5000 0.2500 0.7500
Co 0.7500 0.5000 0.2500

Output
Formation enthalpy at 0 K ... 0.93 eV per atom
DOS at the Fermi energy ... 0.917 states/eV/atom
Total DFT energy (no corrections) ... -5.4325 eV/atom
Size of the total moment ... 3.0 μB per formula unit
Volume ... 15.7 Å³/atom

3.
Compound: KZnW
Source: Alexandria via LeMat-Bulk
Functional: PBE
Structure: optimized geometry

a b c (Å): 2.8672 2.8672 8.4142
angles (deg): 90.00 90.00 120.00
Fractional coordinates of all 3 atoms:
K 0.0000 0.0000 0.9966
W 0.3333 0.6667 0.3658
Zn 0.6667 0.3333 0.6376

Output
Formation enthalpy at 0 K ... 0.95 eV per atom
DOS at the Fermi energy ... 1.053 states/eV/atom
Total DFT energy (no corrections) ... -4.1602 eV/atom
Size of the total moment ... 0.0 μB per formula unit
Relative energy among the computed polymorphs ... 14 meV per atom
Volume ... 20.0 Å³/atom

4.
Compound: MnFe3
Source: Alexandria via LeMat-Bulk
Functional: PBE
Structure: optimized geometry

a b c (Å): 2.4237 4.0067 4.6978
angles (deg): 90.00 80.28 90.00
Fractional coordinates of all 4 atoms:
Mn 0.7500 0.5000 0.7500
Fe 0.0002 0.0000 0.9987
Fe 0.2500 0.5000 0.2500
Fe 0.4998 0.0000 0.5013

Output
Formation enthalpy at 0 K ... 0.07 eV per atom
DOS at the Fermi energy ... 0.927 states/eV/atom
Total DFT energy (no corrections) ... -8.5690 eV/atom
Size of the total moment ... 7.3 μB per formula unit
Volume ... 11.2 Å³/atom

5.
Compound: MgFePb2
Source: Alexandria via LeMat-Bulk
Functional: PBE
Structure: optimized geometry

a b c (Å): 3.9731 4.8027 4.8027
angles (deg): 90.00 90.00 90.00
Fractional coordinates of all 4 atoms:
Fe 0.5000 0.5000 0.0000
Mg 0.5000 0.0000 0.5000
Pb 0.0000 0.0000 0.0000
Pb 0.0000 0.5000 0.5000

Output
Formation enthalpy at 0 K ... 0.39 eV per atom
DOS at the Fermi energy ... 1.141 states/eV/atom
Total DFT energy (no corrections) ... -3.9762 eV/atom
Size of the total moment ... 2.8 μB per formula unit
Volume ... 22.9 Å³/atom

6.
Compound: LaHo3Pb2
Source: Alexandria via LeMat-Bulk
Functional: PBE
Structure: optimized geometry

a b c (Å): 4.6655 10.6082 9.6042
angles (deg): 124.28 90.00 102.70
Fractional coordinates of all 12 atoms:
La 0.8851 0.7703 0.9094
La 0.1149 0.2297 0.0906
Ho 0.3061 0.6123 0.4980
Ho 0.9419 0.8837 0.5712
Ho 0.6381 0.2762 0.7927
Ho 0.3619 0.7238 0.2073
Ho 0.0581 0.1163 0.4288
Ho 0.6939 0.3877 0.5020
Pb 0.4866 0.9732 0.8234
Pb 0.5134 0.0268 0.1766
Pb 0.7584 0.5168 0.2198
Pb 0.2416 0.4832 0.7802

Output
Formation enthalpy at 0 K ... -0.34 eV per atom
DOS at the Fermi energy ... 1.202 states/eV/atom
Total DFT energy (no corrections) ... -4.6898 eV/atom
Size of the total moment ... 0.0 μB per formula unit
Volume ... 31.5 Å³/atom

7.
Compound: NaNb3C
Source: Alexandria via LeMat-Bulk
Functional: PBE
Structure: optimized geometry

a b c (Å): 4.5867 4.5867 4.5867
angles (deg): 90.00 90.00 90.00
Fractional coordinates of all 5 atoms:
Na 0.0000 0.0000 0.0000
Nb 0.0000 0.5000 0.0000
Nb 0.0000 0.0000 0.5000
Nb 0.5000 0.0000 0.0000
C 0.5000 0.5000 0.5000

Output
Formation enthalpy at 0 K ... 3.25 eV per atom
DOS at the Fermi energy ... 0.331 states/eV/atom
Total DFT energy (no corrections) ... -4.8998 eV/atom
Size of the total moment ... 0.0 μB per formula unit
Relative energy among the computed polymorphs ... 2893 meV per atom
Volume ... 19.3 Å³/atom

8.
Compound: LaPm3Sm3
Source: Alexandria via LeMat-Bulk
Functional: PBE
Structure: optimized geometry

a b c (Å): 8.1135 6.4776 6.4776
angles (deg): 103.80 114.68 114.68
Fractional coordinates of all 7 atoms:
La 0.5589 0.0000 0.0000
Pm 0.0184 0.5992 0.5992
Pm 0.4192 0.0000 0.4008
Pm 0.4192 0.4008 0.0000
Sm 0.6108 0.6367 0.6367
Sm 0.9742 0.0000 0.3633
Sm 0.9742 0.3633 0.0000

Output
Formation enthalpy at 0 K ... 0.22 eV per atom
DOS at the Fermi energy ... 1.657 states/eV/atom
Total DFT energy (no corrections) ... -4.5458 eV/atom
Size of the total moment ... 0.0 μB per formula unit
Relative energy among the computed polymorphs ... 0 meV per atom
Volume ... 34.8 Å³/atom

9.
Compound: CrMoAs2
Source: Alexandria via LeMat-Bulk
Functional: PBE
Structure: optimized geometry

a b c (Å): 6.0986 6.0986 6.0986
angles (deg): 147.84 148.49 45.64
Fractional coordinates of all 4 atoms:
Cr 0.4616 0.4616 0.0000
Mo 0.7063 0.2063 0.5000
As 0.0348 0.0348 0.0000
As 0.2973 0.7973 0.5000

Output
Formation enthalpy at 0 K ... -0.16 eV per atom
DOS at the Fermi energy ... 0.573 states/eV/atom
Total DFT energy (no corrections) ... -7.5986 eV/atom
Size of the total moment ... 1.8 μB per formula unit
Relative energy among the computed polymorphs ... 37 meV per atom
Volume ... 15.7 Å³/atom

10.
Compound: YTmLu2
Source: Alexandria via LeMat-Bulk
Functional: PBE
Structure: optimized geometry

a b c (Å): 3.4994 3.4994 11.5676
angles (deg): 81.30 81.30 60.00
Fractional coordinates of all 4 atoms:
Y 0.5000 0.5000 0.5000
Lu 0.7492 0.7492 0.7525
Lu 0.2508 0.2508 0.2475
Tm 0.0000 0.0000 0.0000

Output
Formation enthalpy at 0 K ... 0.04 eV per atom
DOS at the Fermi energy ... 1.649 states/eV/atom
Total DFT energy (no corrections) ... -4.9572 eV/atom
Size of the total moment ... 0.0 μB per formula unit
Relative energy among the computed polymorphs ... 4 meV per atom
Volume ... 30.2 Å³/atom

11.
Compound: MgTlP2
Source: Alexandria via LeMat-Bulk
Functional: PBE
Structure: optimized geometry

a b c (Å): 4.8536 4.8536 4.8536
angles (deg): 60.00 60.00 60.00
Fractional coordinates of all 4 atoms:
P 0.2500 0.2500 0.2500
P 0.7500 0.7500 0.7500
Tl 0.5000 0.5000 0.5000
Mg 0.0000 0.0000 0.0000

Output
Formation enthalpy at 0 K ... 0.36 eV per atom
DOS at the Fermi energy ... 0.645 states/eV/atom
Total DFT energy (no corrections) ... -3.3333 eV/atom
Size of the total moment ... 0.0 μB per formula unit
Relative energy among the computed polymorphs ... 470 meV per atom
Volume ... 20.2 Å³/atom

12.
Compound: Rb2TlRuBr6
Source: Alexandria via LeMat-Bulk
Functional: PBE
Structure: optimized geometry

a b c (Å): 7.9841 7.9841 7.9842
angles (deg): 60.00 60.00 90.00
Fractional coordinates of all 10 atoms:
Ru 0.5000 0.5000 0.0000
Tl 0.0000 0.0000 0.0000
Br 0.2757 0.2757 0.4485
Br 0.7243 0.7243 0.5515
Br 0.2758 0.2758 0.0000
Br 0.7242 0.7242 0.0000
Br 0.7242 0.2758 0.0000
Br 0.2758 0.7242 0.0000
Rb 0.7500 0.2500 0.5000
Rb 0.2500 0.7500 0.5000

Output
DOS at the Fermi energy ... 1.445 states/eV/atom
Total DFT energy (no corrections) ... -3.2988 eV/atom
Size of the total moment ... 1.0 μB per formula unit
Relative energy among the computed polymorphs ... 3 meV per atom
Volume ... 36.0 Å³/atom